# LiAcPr2Se5

LiAcPr2Se5 after structural relaxation (PBE, Alexandria).

The structure in extended XYZ format:
```
18
Lattice="-1.404 3.542 -1.934 -4.068 -6.763 -4.712 -9.975 0.419 8.010" Properties=species:S:1:pos:R:3 pbc="T T T"
Ac -11.805 -1.527 5.774
Ac -8.572 -1.067 -0.451
Li -10.641 2.094 6.841
Li -9.547 -4.696 -1.670
Pr -12.303 -1.720 1.063
Pr -4.074 -1.043 1.048
Pr -6.240 -2.044 -3.934
Pr -7.858 -0.814 4.215
Se -6.194 -2.942 -0.891
Se -13.449 -3.230 3.849
Se -10.858 -2.587 -1.576
Se -7.609 -4.825 -3.313
Se -10.770 0.204 3.473
Se -9.487 -2.661 2.014
Se -4.349 -0.208 -1.944
Se -8.615 2.056 5.301
Se -6.960 0.637 1.500
Se -1.146 -0.359 0.175
```

* crystal system: orthorhombic

# LiAc4Pr3Se8

LiAc4Pr3Se8 after structural relaxation (PBE, Alexandria).

The structure in extended XYZ format:
```
16
Lattice="8.732 0.000 0.000 0.000 8.661 -0.056 -4.366 -4.362 6.177" Properties=species:S:1:pos:R:3 pbc="T T T"
Se 6.608 2.289 0.032
Se 4.366 0.049 3.203
Se 2.242 2.010 6.090
Se 0.000 4.250 2.919
Se 2.124 2.289 0.032
Se 4.366 4.250 3.001
Se -2.242 2.010 6.090
Se 0.000 0.048 3.120
Ac 2.183 -2.181 3.089
Ac -2.183 -2.181 3.089
Ac 4.366 0.000 0.000
Ac 0.000 0.000 0.000
Li 0.000 4.330 -0.028
Pr -2.183 2.149 3.061
Pr 4.366 4.330 -0.028
Pr 2.183 2.149 3.061
```

* crystal system: trigonal

# Li2AcPrSe4

Li2AcPrSe4 after structural relaxation (PBE, Alexandria).

The structure in extended XYZ format:
```
8
Lattice="4.342 0.000 0.000 0.000 7.018 0.034 0.000 2.652 7.048" Properties=species:S:1:pos:R:3 pbc="T T T"
Se 2.171 3.673 5.393
Se 4.342 2.324 1.739
Se 2.171 5.996 1.688
Se 0.000 7.346 5.343
Pr 2.171 3.509 0.017
Li 0.000 2.652 7.048
Li 2.171 1.326 3.524
Ac 0.000 4.835 3.541
```

* crystal system: monoclinic

# LiAc3Pr2Se6

LiAc3Pr2Se6 after structural relaxation (PBE, Alexandria).

The structure in extended XYZ format:
```
12
Lattice="-2.889 -4.940 4.943 0.796 -1.918 -7.271 7.142 -0.108 2.128" Properties=species:S:1:pos:R:3 pbc="T T T"
Ac 1.304 -4.484 3.947
Ac 3.746 -2.482 -4.147
Ac 2.525 -3.483 -0.100
Pr -0.436 -2.929 -3.186
Pr -1.656 -3.929 0.858
Li 0.000 0.000 0.000
Se 1.747 -1.167 -2.028
Se 4.971 -1.753 1.066
Se 3.303 -5.799 1.828
Se 4.490 -4.826 -2.106
Se 0.079 -5.213 -1.266
Se 0.560 -2.140 1.906
```

* crystal system: monoclinic

# LiAc2PrSe4

LiAc2PrSe4 after structural relaxation (PBE, Alexandria).

The structure in extended XYZ format:
```
8
Lattice="-1.477 -2.383 -3.341 3.143 -6.011 2.897 -4.899 -3.486 4.651" Properties=species:S:1:pos:R:3 pbc="T T T"
Ac -4.899 -3.486 4.651
Ac -3.188 -2.934 0.655
Se -1.437 -7.048 5.661
Se -3.585 -5.421 2.604
Se -1.796 -4.832 -1.454
Se 0.352 -6.458 1.603
Li -4.066 -7.683 4.429
Pr -0.878 -4.748 3.774
```

* crystal system: monoclinic

# LiAc3Pr4Se8

LiAc3Pr4Se8 after structural relaxation (PBE, Alexandria).

The structure in extended XYZ format:
```
16
Lattice="8.626 0.000 0.000 0.000 8.697 0.044 -4.313 -4.309 6.103" Properties=species:S:1:pos:R:3 pbc="T T T"
Se 0.000 4.433 3.019
Se 0.000 -0.047 3.015
Se 4.313 4.435 3.132
Se 2.076 6.508 0.079
Se 2.237 -2.119 6.068
Se -2.237 -2.119 6.068
Se 4.313 -0.045 3.128
Se 6.550 6.508 0.079
Ac 4.313 4.349 0.022
Ac 2.157 2.194 3.074
Ac -2.157 2.194 3.074
Pr 4.313 0.000 0.000
Pr -2.157 -2.154 3.052
Pr 0.000 0.000 0.000
Pr 2.157 -2.154 3.052
Li 0.000 4.349 0.022
```

* crystal system: trigonal

The following energy relative to the elements, uncorrected values (in eV/atom) correspond, in order, to the records above: -1.737; -1.806; -1.662; -1.798; -1.766; -1.802.